No. 1
Ba2Dy2Co4O11: relaxed, PBE+U.

Unit cell a=3.9219 b=7.6941 c=7.8153 alpha=90.00 beta=90.00 gamma=90.00
With the nearest neighbours (Å) after each atom.
Positions (direct):
Ba 0.0000 0.0000 0.2495  10 O 2.77-3.05
Ba 0.0000 0.0000 0.7505  10 O 2.77-3.05
Dy 0.0000 0.5000 0.2277  10 O 2.45-2.65
Dy 0.0000 0.5000 0.7723  10 O 2.45-2.65
Co 0.5000 0.2549 0.0000  4 O 1.89-1.97
Co 0.5000 0.2601 0.5000  5 O 1.83-2.01
Co 0.5000 0.7399 0.5000  5 O 1.83-2.01
Co 0.5000 0.7451 0.0000  4 O 1.89-1.97
O 0.0000 0.2802 0.0000  2 Co 1.97
O 0.0000 0.3159 0.5000  2 Co 2.01
O 0.0000 0.6841 0.5000  2 Co 2.01
O 0.0000 0.7198 0.0000  2 Co 1.97
O 0.5000 0.0000 0.0000  2 Co 1.96
O 0.5000 0.0000 0.5000  2 Co 2.00
O 0.5000 0.3037 0.2693  1 Co 1.83
O 0.5000 0.3037 0.7307  1 Co 1.83
O 0.5000 0.5000 0.0000  2 Co 1.89
O 0.5000 0.6963 0.2693  1 Co 1.83
O 0.5000 0.6963 0.7307  1 Co 1.83

Calculated values
DOS(E_F): 1.94 states/eV/f.u.
symmetry: No. 47
E: -6.592 eV per atom

---

No. 2
Ba3DyCo2O6: relaxed, PBE+U.

Unit cell a=6.1819 b=6.1819 c=6.9606 alpha=90.00 beta=90.00 gamma=120.00
With the nearest neighbours (Å) after each atom.
Positions (direct):
Ba 0.0000 0.0000 0.0000  6 O 2.75
Ba 0.3333 0.6667 0.6611  1 Co 3.06, 9 O 3.08-3.10
Ba 0.6667 0.3333 0.3389  1 Co 3.06, 9 O 3.08-3.10
Dy 0.0000 0.0000 0.5000  6 O 2.25
Co 0.3333 0.6667 0.2217  3 O 1.88
Co 0.6667 0.3333 0.7783  3 O 1.88
O 0.1660 0.3321 0.3018  1 Co 1.88
O 0.1660 0.8340 0.3018  1 Co 1.88
O 0.3321 0.1660 0.6982  1 Co 1.88
O 0.6679 0.8340 0.3018  1 Co 1.88
O 0.8340 0.1660 0.6982  1 Co 1.88
O 0.8340 0.6679 0.6982  1 Co 1.88

Calculated values
DOS(E_F): 10.78 states/eV/f.u.
symmetry: No. 164
E: -6.256 eV per atom

---

No. 3
Ba2DyCo2O6: relaxed, PBE+U.

Unit cell a=6.6785 b=6.6785 c=6.6785 alpha=54.19 beta=54.19 gamma=54.19
With the nearest neighbours (Å) after each atom.
Positions (direct):
Ba 0.2187 0.2187 0.2187  9 O 2.85-3.08
Ba 0.7813 0.7813 0.7813  9 O 2.85-3.08
Dy 0.0000 0.0000 0.0000  6 O 2.25
Co 0.4362 0.4362 0.4362  3 O 1.82
Co 0.5638 0.5638 0.5638  3 O 1.82
O 0.2407 0.7514 0.7514  1 Co 1.82
O 0.2486 0.2486 0.7593  1 Co 1.82
O 0.2486 0.7593 0.2486  1 Co 1.82
O 0.7514 0.2407 0.7514  1 Co 1.82
O 0.7514 0.7514 0.2407  1 Co 1.82
O 0.7593 0.2486 0.2486  1 Co 1.82

Calculated values
symmetry: No. 166
E: -6.501 eV per atom